A relaxed Pr8Ni2Ru crystal, computed with PBE-GGA.

Values from the calculation:
Energy relative to the elements ... -0.11 eV per atom
Energy relative to the lowest polymorph listed for this composition ... 0.0 kJ/mol of atoms

The structure in CIF format:
```
data_Pr8Ni2Ru
_cell_length_a 18.365
_cell_length_b 5.212
_cell_length_c 6.751
_cell_angle_alpha 90.00
_cell_angle_beta 106.08
_cell_angle_gamma 90.00
_symmetry_space_group_name_H-M 'C 1 2/m 1'
_symmetry_Int_Tables_number 12
loop_
_symmetry_equiv_pos_as_xyz
'x,y,z'
'-x,-y,-z'
'-x,y,-z'
'x,-y,z'
'x+1/2,y+1/2,z'
'-x+1/2,-y+1/2,-z'
'-x+1/2,y+1/2,-z'
'x+1/2,-y+1/2,z'
loop_
_atom_site_label
_atom_site_type_symbol
_atom_site_fract_x
_atom_site_fract_y
_atom_site_fract_z
Pr1 Pr 0.036 0.000 0.298
Pr2 Pr 0.088 0.500 0.948
Pr3 Pr 0.174 0.500 0.485
Pr4 Pr 0.197 0.000 0.844
Ni1 Ni 0.181 0.000 0.242
Ru1 Ru 0.000 0.500 0.500
```

A relaxed Pr3Si2GePd9 crystal, computed with PBE-GGA.

Values from the calculation:
ΔE_f (raw) ... -645.2 meV/atom

The structure in CIF format:
```
data_Pr3Si2GePd9
_cell_length_a 6.4390
_cell_length_b 6.4390
_cell_length_c 8.6209
_cell_angle_alpha 90.00
_cell_angle_beta 90.00
_cell_angle_gamma 120.00
_symmetry_space_group_name_H-M 'P -3 m 1'
_symmetry_Int_Tables_number 164
_symmetry_space_group_name_Hall '-P 3 2"'
loop_
_atom_site_label
_atom_site_type_symbol
_atom_site_fract_x
_atom_site_fract_y
_atom_site_fract_z
Pr1 Pr 0.0000 0.0000 0.0000
Pr2 Pr 0.3333 0.6667 0.6660
Si1 Si 0.3333 0.6667 0.1766
Ge1 Ge 0.0000 0.0000 0.5000
Pd1 Pd 0.0000 0.5000 0.0000
Pd2 Pd 0.1474 0.2948 0.2878
```

A relaxed Tm2InGa3 crystal, computed with PBE-GGA.

Values from the calculation:
Energy relative to the elements ... -0.49 eV per atom

The structure in CIF format:
```
data_Tm2InGa3
_cell_length_a 7.070
_cell_length_b 9.031
_cell_length_c 15.786
_cell_angle_alpha 90.00
_cell_angle_beta 90.00
_cell_angle_gamma 90.00
_symmetry_space_group_name_H-M 'F m m m'
_symmetry_Int_Tables_number 69
_symmetry_space_group_name_Hall '-F 2 2'
loop_
_atom_site_label
_atom_site_type_symbol
_atom_site_fract_x
_atom_site_fract_y
_atom_site_fract_z
Tm1 Tm 0.248 0.000 0.000
Tm2 Tm 0.250 0.250 0.250
In1 In 0.000 0.000 0.334
Ga1 Ga 0.000 0.000 0.163
Ga2 Ga 0.000 0.244 0.081
```

| no. | energy (eV per atom) |
| --- | --- |
| 1 | -5.476 |
| 2 | -5.748 |
| 3 | -3.946 |